No. 1
KCu2PdI6: relaxed, PBE.

Cell: 8.547 10.130 10.130 Å, 75.64 71.85 71.85°
Element x y z (fractional)
Cu: 0.658 0.195 0.384
I: 0.399 0.373 0.313
I: 0.601 0.627 0.687
I: 0.432 0.902 0.339
I: 0.932 0.339 0.902
K: 0.750 0.059 0.941
I: 0.068 0.661 0.098
Pd: 0.250 0.208 0.792
I: 0.140 0.041 0.695
Cu: 0.158 0.384 0.195
I: 0.568 0.098 0.661
K: 0.250 0.941 0.059
I: 0.860 0.959 0.305
I: 0.101 0.687 0.627
Cu: 0.342 0.805 0.616
I: 0.360 0.305 0.959
I: 0.640 0.695 0.041
Pd: 0.750 0.792 0.208
I: 0.899 0.313 0.373
Cu: 0.842 0.616 0.805

Values from the calculation:
Calculated total energy ... -54.7 eV/cell
Uncorrected formation energy ... -355 meV per atom
Space group ... C2/c

=====

No. 2
KPmCuI6: relaxed, PBE.

Cell: 8.463 7.474 7.978 Å, 84.83 81.11 55.59°
Element x y z (fractional)
I: 0.631 0.367 0.785
I: 0.999 0.372 0.213
Pm: 0.688 0.625 0.500
I: 0.377 0.036 0.727
I: 0.366 0.641 0.331
I: 0.995 0.638 0.670
Cu: 0.331 0.340 0.501
I: 0.585 0.039 0.274
K: 0.028 0.942 0.001

Values from the calculation:
Calculated total energy ... -27.7 eV/cell
Uncorrected formation energy ... -935 meV per atom
Space group ... P1

=====

No. 3
K2PmCuI6: relaxed, PBE.

Cell: 8.523 9.434 10.659 Å, 90.00 88.93 90.00°
Element x y z (fractional)
K: 0.472 0.399 0.247
I: 0.194 0.164 0.056
I: 0.334 0.714 0.051
Cu: 0.000 0.500 0.000
I: 0.609 0.031 0.284
I: 0.391 0.969 0.716
I: 0.834 0.786 0.551
I: 0.666 0.286 0.949
K: 0.528 0.601 0.753
K: 0.972 0.101 0.747
Pm: 0.000 0.500 0.500
Cu: 0.500 0.000 0.500
I: 0.166 0.214 0.449
I: 0.694 0.336 0.556
Pm: 0.500 0.000 0.000
I: 0.891 0.531 0.216
I: 0.806 0.836 0.944
I: 0.109 0.469 0.784
K: 0.028 0.899 0.253
I: 0.306 0.664 0.444

Values from the calculation:
Calculated total energy ... -63.4 eV/cell
Uncorrected formation energy ... -1134 meV per atom
Space group ... P2_1/c

=====

No. 4
K2PrCuI6: relaxed, PBE.

Cell: 8.472 8.472 8.472 Å, 60.00 60.00 60.00°
Element x y z (fractional)
I: 0.761 0.239 0.761
I: 0.239 0.239 0.761
I: 0.239 0.761 0.239
I: 0.761 0.761 0.239
K: 0.750 0.750 0.750
I: 0.761 0.239 0.239
Pr: 0.500 0.500 0.500
I: 0.239 0.761 0.761
Cu: 0.000 0.000 0.000
K: 0.250 0.250 0.250

Values from the calculation:
Calculated total energy ... -31.1 eV/cell
Uncorrected formation energy ... -1075 meV per atom
Space group ... Fm-3m

=====

No. 5
KCuPtI6: relaxed, PBE.

Cell: 7.671 7.475 8.418 Å, 98.33 77.28 56.37°
Element x y z (fractional)
I: 0.414 0.573 0.305
I: 0.960 0.728 0.758
I: 0.651 0.965 0.221
Cu: 0.597 0.652 0.518
Pt: 0.320 0.351 0.493
K: 0.160 0.895 0.042
I: 0.586 0.357 0.657
I: 0.284 0.084 0.672
I: 0.029 0.394 0.335

Values from the calculation:
Calculated total energy ... -24.0 eV/cell
Uncorrected formation energy ... -382 meV per atom
Space group ... P1

=====

No. 6
KPuCuI6: relaxed, PBE.

Cell: 7.665 7.665 15.639 Å, 90.00 90.00 120.00°
Element x y z (fractional)
K: 0.000 0.000 0.500
I: 0.375 0.358 0.357
I: 0.017 0.375 0.643
I: 0.642 0.625 0.143
I: 0.642 0.017 0.357
I: 0.625 0.642 0.643
I: 0.017 0.642 0.857
Cu: 0.667 0.333 0.250
I: 0.983 0.358 0.143
Pu: 0.667 0.333 0.750
K: 0.000 0.000 0.000
I: 0.983 0.625 0.357
I: 0.375 0.017 0.143
Cu: 0.333 0.667 0.750
I: 0.625 0.983 0.857
I: 0.358 0.983 0.643
I: 0.358 0.375 0.857
Pu: 0.333 0.667 0.250

Values from the calculation:
Calculated total energy ... -71.9 eV/cell
Uncorrected formation energy ... -792 meV per atom
Space group ... P-31c

=====

No. 7
KPuCuI5: relaxed, PBE.

Cell: 8.358 8.358 11.436 Å, 104.35 104.35 105.71°
Element x y z (fractional)
I: 0.389 0.242 0.066
I: 0.671 0.082 0.372
I: 0.329 0.918 0.628
Pu: 0.000 0.000 0.000
I: 0.082 0.671 0.872
I: 0.918 0.329 0.128
I: 0.242 0.389 0.566
K: 0.639 0.361 0.750
I: 0.758 0.611 0.434
K: 0.361 0.639 0.250
I: 0.908 0.092 0.750
Cu: 0.689 0.311 0.250
Pu: 0.000 0.000 0.500
I: 0.092 0.908 0.250
I: 0.611 0.758 0.934
Cu: 0.311 0.689 0.750

Values from the calculation:
Calculated total energy ... -69.2 eV/cell
Uncorrected formation energy ... -916 meV per atom
Space group ... C2/c

=====

No. 8
KPuCu2I6: relaxed, PBE.

Cell: 9.333 11.318 11.318 Å, 74.95 60.86 60.86°
Element x y z (fractional)
I: 0.720 0.798 0.979
K: 0.250 0.876 0.124
I: 0.780 0.021 0.202
I: 0.272 0.529 0.713
Cu: 0.548 0.126 0.435
K: 0.750 0.124 0.876
Pu: 0.750 0.738 0.262
I: 0.772 0.713 0.529
Cu: 0.452 0.874 0.565
I: 0.280 0.202 0.021
Cu: 0.952 0.565 0.874
I: 0.220 0.979 0.798
Cu: 0.048 0.435 0.126
I: 0.728 0.471 0.287
I: 0.172 0.597 0.111
Pu: 0.250 0.262 0.738
I: 0.328 0.889 0.403
I: 0.828 0.403 0.889
I: 0.228 0.287 0.471
I: 0.672 0.111 0.597

Values from the calculation:
Calculated total energy ... -81.3 eV/cell
Uncorrected formation energy ... -772 meV per atom
Space group ... C2/c

=====

No. 9
KRb2CuI6: relaxed, PBE.

Cell: 8.321 8.321 9.017 Å, 62.52 62.52 90.00°
Element x y z (fractional)
Rb: 0.750 0.250 0.500
Cu: 0.000 0.000 0.000
I: 0.218 0.218 0.000
I: 0.782 0.218 0.000
I: 0.255 0.255 0.489
I: 0.218 0.782 0.000
I: 0.745 0.745 0.511
K: 0.500 0.500 0.000
I: 0.782 0.782 0.000
Rb: 0.250 0.750 0.500

Values from the calculation:
Calculated total energy ... -24.3 eV/cell
Uncorrected formation energy ... -785 meV per atom
Space group ... I4/mmm

=====

No. 10
KRb2Cu2I6: relaxed, PBE.

Cell: 8.129 7.727 10.474 Å, 108.13 90.00 121.73°
Element x y z (fractional)
I: 0.193 0.868 0.185
Cu: 0.960 0.921 0.717
I: 0.776 0.553 0.533
Cu: 0.040 0.079 0.283
I: 0.326 0.132 0.815
I: 0.224 0.447 0.467
I: 0.807 0.132 0.815
K: 0.500 0.000 0.500
Rb: 0.314 0.627 0.844
I: 0.674 0.868 0.185
Rb: 0.686 0.373 0.156

Values from the calculation:
Calculated total energy ... -29.8 eV/cell
Uncorrected formation energy ... -843 meV per atom
Space group ... C2/m

=====

No. 11
KRb2Cu2I7: relaxed, PBE.

Cell: 5.639 5.639 15.068 Å, 79.24 79.24 90.01°
Element x y z (fractional)
I: 0.910 0.411 0.179
I: 0.309 0.309 0.383
I: 0.691 0.691 0.617
I: 0.589 0.090 0.821
Rb: 0.822 0.822 0.357
Cu: 0.402 0.402 0.195
I: 0.090 0.589 0.821
K: 0.000 0.000 0.000
I: 0.411 0.910 0.179
Rb: 0.178 0.178 0.643
Cu: 0.598 0.598 0.805
I: 0.500 0.500 0.000

Values from the calculation:
Calculated total energy ... -30.9 eV/cell
Uncorrected formation energy ... -736 meV per atom
Space group ... C2/m

=====

No. 12
K2RbCuI4: relaxed, PBE.

Cell: 4.751 8.550 17.662 Å, 90.00 90.00 106.13°
Element x y z (fractional)
I: 0.725 0.450 0.869
K: 0.363 0.726 0.945
Rb: 0.099 0.199 0.750
K: 0.637 0.274 0.445
Cu: 0.177 0.354 0.250
I: 0.275 0.550 0.369
I: 0.590 0.179 0.250
I: 0.275 0.550 0.131
Rb: 0.901 0.801 0.250
I: 0.410 0.821 0.750
I: 0.000 0.000 0.500
K: 0.637 0.274 0.055
Cu: 0.823 0.646 0.750
I: 0.725 0.450 0.631
I: 0.000 0.000 0.000
K: 0.363 0.726 0.555

Values from the calculation:
Calculated total energy ... -44.8 eV/cell
Uncorrected formation energy ... -1119 meV per atom
Space group ... Cmcm

=====

No. 13
KRbCuI3: relaxed, PBE.

Cell: 4.730 8.049 13.867 Å, 90.00 90.00 107.09°
Element x y z (fractional)
Rb: 0.739 0.479 0.750
K: 0.000 0.000 0.500
Rb: 0.261 0.521 0.250
Cu: 0.448 0.896 0.750
K: 0.000 0.000 0.000
I: 0.045 0.091 0.750
I: 0.355 0.710 0.908
I: 0.355 0.710 0.592
I: 0.645 0.290 0.092
I: 0.955 0.909 0.250
I: 0.645 0.290 0.408
Cu: 0.552 0.104 0.250

Values from the calculation:
Calculated total energy ... -33.8 eV/cell
Uncorrected formation energy ... -1018 meV per atom
Space group ... Cmcm

=====

No. 14
K3RbCu4I12: relaxed, PBE.

Cell: 10.314 10.314 10.314 Å, 97.49 97.49 97.49°
Element x y z (fractional)
I: 0.992 0.662 0.808
K: 0.475 0.000 0.525
I: 0.339 0.661 0.500
I: 0.119 0.881 0.500
I: 0.881 0.500 0.119
I: 0.661 0.500 0.339
Cu: 0.047 0.500 0.953
I: 0.192 0.338 0.008
I: 0.808 0.992 0.662
Cu: 0.500 0.500 0.500
K: 0.000 0.525 0.475
Cu: 0.953 0.047 0.500
I: 0.500 0.339 0.661
I: 0.008 0.192 0.338
I: 0.500 0.119 0.881
I: 0.338 0.008 0.192
I: 0.662 0.808 0.992
Rb: 0.000 0.000 0.000
K: 0.525 0.475 0.000
Cu: 0.500 0.953 0.047

Values from the calculation:
Calculated total energy ... -51.1 eV/cell
Uncorrected formation energy ... -591 meV per atom
Space group ... R32

=====

No. 15
KRb2CuI4: relaxed, PBE.

Cell: 4.827 8.354 18.708 Å, 90.00 90.00 106.79°
Element x y z (fractional)
I: 0.404 0.808 0.750
I: 0.000 0.000 0.500
Rb: 0.642 0.285 0.440
K: 0.900 0.801 0.250
I: 0.711 0.422 0.639
I: 0.289 0.578 0.361
I: 0.711 0.422 0.861
Rb: 0.358 0.715 0.560
I: 0.289 0.578 0.139
I: 0.596 0.192 0.250
Cu: 0.813 0.625 0.750
Cu: 0.187 0.375 0.250
Rb: 0.642 0.285 0.060
Rb: 0.358 0.715 0.940
K: 0.100 0.199 0.750
I: 0.000 0.000 0.000

Values from the calculation:
Calculated total energy ... -44.2 eV/cell
Uncorrected formation energy ... -1096 meV per atom
Space group ... Cmcm

=====

No. 16
KCuRuI6: relaxed, PBE.

Cell: 7.194 7.195 7.911 Å, 90.01 89.99 59.98°
Element x y z (fractional)
I: 0.990 0.373 0.305
I: 0.990 0.637 0.695
I: 0.637 0.990 0.305
I: 0.373 0.990 0.695
I: 0.637 0.373 0.695
Cu: 0.333 0.333 0.500
Ru: 0.667 0.667 0.500
K: 0.000 0.000 0.000
I: 0.373 0.637 0.305

Values from the calculation:
Calculated total energy ... -26.7 eV/cell
Uncorrected formation energy ... -320 meV per atom
Space group ... P312

=====

No. 17
K2CuSI: relaxed, PBE.

Cell: 6.281 6.281 4.269 Å, 90.00 90.00 90.00°
Element x y z (fractional)
K: 0.000 0.500 0.000
K: 0.500 0.000 0.000
I: 0.500 0.500 0.500
S: 0.000 0.000 0.000
Cu: 0.000 0.000 0.500

Values from the calculation:
Calculated total energy ... -16.7 eV/cell
Uncorrected formation energy ... -950 meV per atom
Space group ... P4/mmm

=====

No. 18
K2CuSbI6: relaxed, PBE.

Cell: 8.306 8.306 8.306 Å, 60.00 60.00 60.00°
Element x y z (fractional)
I: 0.258 0.742 0.258
Sb: 0.000 0.000 0.000
I: 0.742 0.742 0.258
K: 0.750 0.750 0.750
I: 0.742 0.258 0.258
I: 0.742 0.258 0.742
K: 0.250 0.250 0.250
I: 0.258 0.742 0.742
I: 0.258 0.258 0.742
Cu: 0.500 0.500 0.500

Values from the calculation:
Calculated total energy ... -26.5 eV/cell
Uncorrected formation energy ... -674 meV per atom
Space group ... Fm-3m

=====

No. 19
KCuSbI6: relaxed, PBE.

Cell: 9.623 7.516 8.887 Å, 70.18 58.02 50.12°
Element x y z (fractional)
I: 0.683 0.345 0.798
I: 0.582 0.081 0.233
I: 0.972 0.697 0.486
Cu: 0.317 0.365 0.500
Sb: 0.672 0.656 0.500
I: 0.336 0.081 0.767
I: 0.333 0.694 0.514
K: 0.132 0.737 0.000
I: 0.974 0.344 0.202

Values from the calculation:
Calculated total energy ... -22.9 eV/cell
Uncorrected formation energy ... -477 meV per atom
Space group ... P1

=====

No. 20
KCuSb2I: relaxed, PBE.

Cell: 4.945 4.945 8.193 Å, 90.00 90.00 90.00°
Element x y z (fractional)
I: 0.000 0.000 0.500
K: 0.500 0.500 0.500
Sb: 0.000 0.500 0.000
Sb: 0.500 0.000 0.000
Cu: 0.000 0.000 0.000

Values from the calculation:
Excess energy over the best structure of this formula in the dataset ... 0 meV/atom
Calculated total energy ... -15.3 eV/cell
Uncorrected formation energy ... -61 meV per atom
Space group ... P4/mmm